First-principles (PBE) data for an optimized crystal structure of TbFe2W, as listed in the Alexandria database.

Unit cell a=3.045 b=3.045 c=6.854 alpha=90.00 beta=90.00 gamma=90.00
Each line ends with the local moment (μB).
Element x y z (fractional)
Tb 0.500 0.500 0.500  -0.08
W 0.500 0.500 0.000  -0.14
Fe 0.000 0.000 0.801  0.72
Fe 0.000 0.000 0.199  0.72

- space group = No. 123
- formation energy (eV/atom) = 0.166